DFT (GGA-PBEsol) results for crystalline Mg2Zn3 at its relaxed geometry.

Results
- ΔH_f (0 K): 0.035 eV/atom

a b c (Å): 3.0057 3.0057 33.0841
angles (deg): 90.00 90.00 120.00
Last column: nearest neighbours and their distance in Å.
Space group R-3m (No. 166, hexagonal axes)
One atom of each set of equivalent atoms:
1 Mg 0.0000 0.0000 0.0986 [6 per cell]  6 Zn 2.84-2.85, 6 Mg 3.01
2 Zn 0.0000 0.0000 0.3030 [6 per cell]  3 Zn 2.66, 3 Mg 2.85
3 Zn 0.0000 0.0000 0.5000 [3 per cell]  6 Mg 2.84, 6 Zn 3.01